4
Lattice="-0.630 -4.383 -0.270 -2.914 -1.647 -2.912 1.436 -2.233 -3.554" Properties=species:S:1:pos:R:3 comment="Ga2TcAu, optimized geometry, DFT PBE" de_polymorph_ev_per_atom=0.150 magmom_total_mub_per_cell=0.0 spacegroup="No. 225" rho_g_cm3=11.68 pbc="T T T"
Ga -1.581 -6.197 -5.052
Tc 0.000 0.000 0.000
Ga -0.527 -2.066 -1.684
Au -1.054 -4.131 -3.368